Record 1
First-principles (meta-GGA SCAN) data for a crystal of Sr2ZrSe relaxed with PBEsol, as listed in the Alexandria database.

abc: 4.5788 4.5788 6.5695
angles: 110.40 110.40 90.00
Last column: nearest neighbours and their distance in Å.
Element x y z (fractional)
Se (0.2500, 0.7500, 0.5000)  4 Sr 3.24
Sr (0.0000, 0.0000, 0.0000)  4 Zr 3.24
Sr (0.7500, 0.2500, 0.5000)  4 Se 3.24
Zr (0.5000, 0.5000, 0.0000)  4 Sr 3.24

Its total magnetic moment is 2.25 μB/f.u. For the density of states at the Fermi level, the calculation gives 3.66 states/eV per cell. Its raw formation energy is -0.11 eV per atom. The value obtained for the calculated total energy is -0.87991 Ha/atom.

***

Record 2
First-principles (meta-GGA SCAN) data for a crystal of Ta3Se4 relaxed with PBEsol, as listed in the Alexandria database.

abc: 4.8218 5.6130 5.6130
angles: 120.00 90.00 90.00
Last column: nearest neighbours and their distance in Å.
Element x y z (fractional)
Se (0.7499, 0.0000, 0.0000)  2 Se 2.41
Se (0.2501, 0.0000, 0.0000)  2 Se 2.41
Se (0.5000, 0.3333, 0.6667)  6 Ta 2.90, 3 Se 3.24
Se (0.5000, 0.6667, 0.3333)  6 Ta 2.90, 3 Se 3.24
Ta (0.0000, 0.0000, 0.5000)  4 Ta 2.81, 8 Se 2.90-3.05
Ta (0.0000, 0.5000, 0.0000)  4 Ta 2.81, 8 Se 2.90-3.05
Ta (0.0000, 0.5000, 0.5000)  4 Ta 2.81, 8 Se 2.90-3.05

Its total magnetic moment is 0.00 μB/f.u. For the density of states at the Fermi level, the calculation gives 5.14 states/eV per cell. Its raw formation energy is 0.29 eV per atom. The value obtained for the calculated total energy is -1.45967 Ha/atom.